The following is a DFT calculation (PBE-GGA) of a relaxed structure of MnBiBP2.

Results
The value obtained for the electronic total energy is -5.2554 eV per atom. The space group is P4/mmm (123). The calculation puts the density of states at the Fermi level at 1.249 states/eV per atom.

Cell and atoms, written as extended XYZ:
```
5
Lattice="4.430 0.000 0.000 0.000 4.430 0.000 0.000 0.000 3.994" Properties=species:S:1:pos:R:3 pbc="T T T"
Mn 0.000 0.000 0.000
Bi 2.215 2.215 0.000
B 0.000 0.000 1.997
P 0.000 2.215 1.997
P 2.215 0.000 1.997
```

The following is a DFT calculation (PBE-GGA) of a relaxed structure of SrMn2BiB.

Results
The value obtained for the electronic total energy is -5.3794 eV per atom. The space group is P4/mmm (123). The calculation puts the density of states at the Fermi level at 1.841 states/eV per atom.

Cell and atoms, written as extended XYZ:
```
5
Lattice="4.253 0.000 0.000 0.000 4.253 0.000 0.000 0.000 5.067" Properties=species:S:1:pos:R:3 pbc="T T T"
Sr 0.000 0.000 0.000
Mn 0.000 2.127 2.533
Mn 2.127 0.000 2.533
Bi 2.127 2.127 0.000
B 0.000 0.000 2.533
```

The following is a DFT calculation (PBE-GGA) of a relaxed structure of MnZn2BiB.

Results
The value obtained for the electronic total energy is -3.7246 eV per atom. The space group is P4/mmm (123). The calculation puts the density of states at the Fermi level at 0.698 states/eV per atom.

Cell and atoms, written as extended XYZ:
```
5
Lattice="4.783 0.000 0.000 0.000 4.783 0.000 0.000 0.000 4.009" Properties=species:S:1:pos:R:3 pbc="T T T"
Mn 0.000 0.000 0.000
Zn 0.000 2.392 0.000
Zn 2.392 0.000 0.000
Bi 2.392 2.392 2.004
B 0.000 0.000 2.004
```